Record 1
Crystalline TbSc2Ir at its relaxed geometry, computed with PBE.

## Properties
Formation energy from the elements, eV/atom: -0.299
DFT total energy, Ry/atom: -0.503
Calculated volume, Å³ per atom: 22.82
Total moment, μB per formula unit: 0.00
ΔE to the lowest computed polymorph, eV/f.u.: 1.15

a b c (Å): 5.698 5.698 5.698
angles (deg): 47.27 47.27 47.27
Element x y z (fractional)
1 Tb 0.000 0.000 0.000
2 Sc 0.217 0.217 0.217
3 Sc 0.783 0.783 0.783
4 Ir 0.500 0.500 0.500


Record 2
Crystalline CsSbI4 at its relaxed geometry, computed with PBE.

## Properties
DFT total energy, Ry/atom: -0.191
Energy relative to the elements, uncorrected, eV/f.u.: -4.433
Calculated volume, Å³ per atom: 51.79
Total moment, μB per formula unit: 0.00
ΔE to the lowest computed polymorph, eV/f.u.: 0.00

a b c (Å): 9.998 9.998 7.835
angles (deg): 106.38 106.38 112.78
Element x y z (fractional)
1 Cs 0.125 0.875 0.750
2 Cs 0.875 0.125 0.250
3 Sb 0.421 0.579 0.250
4 Sb 0.579 0.421 0.750
5 I 0.140 0.547 0.308
6 I 0.242 0.349 0.803
7 I 0.349 0.242 0.303
8 I 0.453 0.860 0.192
9 I 0.547 0.140 0.808
10 I 0.651 0.758 0.697
11 I 0.758 0.651 0.197
12 I 0.860 0.453 0.692


Question: Among the records above, which one has the lowest calculated volume?
Answer: TbSc2Ir


Question: Among the records above, which one has the lowest ΔE to the lowest computed polymorph?
Answer: CsSbI4


Copy entry 1 word for word.
Crystalline TbSc2Ir at its relaxed geometry, computed with PBE.

## Properties
Formation energy from the elements, eV/atom: -0.299
DFT total energy, Ry/atom: -0.503
Calculated volume, Å³ per atom: 22.82
Total moment, μB per formula unit: 0.00
ΔE to the lowest computed polymorph, eV/f.u.: 1.15

a b c (Å): 5.698 5.698 5.698
angles (deg): 47.27 47.27 47.27
Element x y z (fractional)
1 Tb 0.000 0.000 0.000
2 Sc 0.217 0.217 0.217
3 Sc 0.783 0.783 0.783
4 Ir 0.500 0.500 0.500


Question: Look up the calculated volume of the first one.
Answer: 22.82 Å³ per atom